Here is a geometry-optimized VHNF2 structure from the Alexandria database. Energies are from PBE with a Hubbard U.

The structure in CIF format:
```
data_VHNF2
_cell_length_a 4.039
_cell_length_b 4.039
_cell_length_c 2.736
_cell_angle_alpha 90.00
_cell_angle_beta 90.00
_cell_angle_gamma 90.00
_space_group_name_H-M_alt 'P 4/m m m'
_space_group_IT_number 123
_space_group_name_Hall '-P 4 2'
loop_
_atom_site_label
_atom_site_type_symbol
_atom_site_fract_x
_atom_site_fract_y
_atom_site_fract_z
V1 V 0.000 0.000 0.000
H1 H 0.500 0.500 0.500
N1 N 0.500 0.500 0.000
F1 F 0.000 0.500 0.500
```

Output
Electronic total energy in eV/atom: -4.66
Density in Mg/m³: 3.87
Polymorph energy (0 for the lowest one) in meV/atom: 523